YCuP after structural relaxation, computed with PBE-GGA.

Output
N(E_F) = 7.3 states/eV/cell
Magnetization = 1.1 μB/cell
SG = R3m
ΔE_f = -2.2 eV per formula unit

Lattice parameters (Å, degrees): 3.970 3.970 13.169 90.00 90.00 120.00
Atoms (fractional coordinates):
Y 0.000 0.000 0.390
Y 0.333 0.667 0.057
Y 0.667 0.333 0.723
Cu 0.000 0.000 0.904
Cu 0.333 0.667 0.570
Cu 0.667 0.333 0.237
P 0.000 0.000 0.600
P 0.333 0.667 0.267
P 0.667 0.333 0.933